[1]
Here is a relaxed TcRhI2O crystal from the Alexandria database. Energies are from PBE-GGA.

Output
uncorrected formation energy = 534 meV/atom
Fermi-level density of states = 2.1 states/eV/f.u.
space group = No. 123
distance to the lowest polymorph of the same formula = 147 kJ/mol of formula units

a b c (Å): 5.678 5.678 3.723
angles (deg): 90.00 90.00 90.00
Fractional positions:
Tc1 0.000 0.000 0.000
Rh1 0.500 0.500 0.500
I1 0.000 0.500 0.500
I2 0.500 0.000 0.500
O1 0.500 0.500 0.000

=====

[2]
Here is a relaxed LaNd5Dy3 crystal from the Alexandria database. Energies are from PBE-GGA.

Output
Fermi-level density of states = 13.5 states/eV/f.u.
space group = No. 15
distance to the lowest polymorph of the same formula = 0 kJ/mol of formula units
energy relative to the elements = 26.4 kJ per mole of atoms

a b c (Å): 9.956 9.956 11.396
angles (deg): 112.18 112.18 38.26
Fractional positions:
La1 0.141 0.859 0.750
La2 0.859 0.141 0.250
Nd1 0.008 0.654 0.134
Nd2 0.131 0.532 0.791
Nd3 0.346 0.992 0.366
Nd4 0.398 0.602 0.250
Nd5 0.468 0.869 0.709
Nd6 0.532 0.131 0.291
Nd7 0.602 0.398 0.750
Nd8 0.654 0.008 0.634
Nd9 0.869 0.468 0.209
Nd10 0.992 0.346 0.866
Dy1 0.000 0.000 0.000
Dy2 0.000 0.000 0.500
Dy3 0.138 0.538 0.485
Dy4 0.462 0.862 0.015
Dy5 0.538 0.138 0.985
Dy6 0.862 0.462 0.515